1.
Entry from Alexandria via LeMat-Bulk: a relaxed structure of GdThMgAl (PBE).

abc: 7.4826 7.4826 7.4826
angles: 90.00 90.00 90.00
Space group F-43m (No. 216)
Inequivalent atoms, fractional coordinates:
Gd  0.0000  0.0000  0.0000
Th  0.0000  0.0000  0.5000
Mg  0.2500  0.2500  0.7500
Al  0.2500  0.2500  0.2500

Summary:
The calculation puts the final energy at -6.87 eV/atom. The energy relative to the elements comes out at -158 meV/atom.

=====

2.
Entry from Alexandria via LeMat-Bulk: a relaxed structure of GdMgAlTl (PBE).

abc: 7.2789 7.2789 7.2789
angles: 90.00 90.00 90.00
Space group F-43m (No. 216)
Inequivalent atoms, fractional coordinates:
Gd  0.0000  0.0000  0.0000
Mg  0.0000  0.0000  0.5000
Al  0.2500  0.2500  0.2500
Tl  0.2500  0.2500  0.7500

Summary:
The calculation puts the final energy at -5.63 eV/atom. The energy relative to the elements comes out at -185 meV/atom.

=====

3.
Entry from Alexandria via LeMat-Bulk: a relaxed structure of GdYMgAl (PBE).

abc: 7.3946 7.3946 7.3946
angles: 90.00 90.00 90.00
Space group F-43m (No. 216)
Inequivalent atoms, fractional coordinates:
Gd  0.0000  0.0000  0.0000
Y  0.0000  0.0000  0.5000
Mg  0.2500  0.2500  0.2500
Al  0.2500  0.2500  0.7500

Summary:
The calculation puts the final energy at -6.76 eV/atom. The energy relative to the elements comes out at -285 meV/atom.

=====

4.
Entry from Alexandria via LeMat-Bulk: a relaxed structure of GdMgZrAl (PBE).

abc: 7.1282 7.1282 7.1282
angles: 90.00 90.00 90.00
Space group F-43m (No. 216)
Inequivalent atoms, fractional coordinates:
Gd  0.0000  0.0000  0.0000
Mg  0.2500  0.2500  0.7500
Zr  0.0000  0.0000  0.5000
Al  0.2500  0.2500  0.2500

Summary:
The calculation puts the final energy at -7.16 eV/atom. The energy relative to the elements comes out at -170 meV/atom.

=====

5.
Entry from Alexandria via LeMat-Bulk: a relaxed structure of GdMnAl2 (PBE).

abc: 6.7241 6.7241 6.7241
angles: 90.00 90.00 90.00
Space group Fm-3m (No. 225)
Inequivalent atoms, fractional coordinates:
Gd  0.0000  0.0000  0.0000
Mn  0.0000  0.0000  0.5000
Al  0.2500  0.2500  0.2500

Summary:
The energy above the most stable polymorph in this dataset comes out at 0.117 eV per atom. The calculation puts the final energy at -7.79 eV/atom. The energy relative to the elements comes out at -107 meV/atom.

=====

6.
Entry from Alexandria via LeMat-Bulk: a relaxed structure of GdMnAl3 (PBE).

abc: 4.5559 4.5559 4.5559
angles: 90.00 90.00 90.00
Space group Pm-3m (No. 221)
Inequivalent atoms, fractional coordinates:
Gd  0.0000  0.0000  0.0000
Mn  0.5000  0.5000  0.5000
Al  0.0000  0.5000  0.5000

Summary:
The calculation puts the final energy at -7.16 eV/atom. The energy relative to the elements comes out at -263 meV/atom.

=====

7.
Entry from Alexandria via LeMat-Bulk: a relaxed structure of GdMnAl2 (PBE).

abc: 3.1587 3.1587 7.3882
angles: 90.00 90.00 90.00
Space group P4/mmm (No. 123)
Inequivalent atoms, fractional coordinates:
Gd  0.0000  0.0000  0.0000
Mn  0.0000  0.0000  0.5000
Al  0.5000  0.5000  0.3048

Summary:
The energy above the most stable polymorph in this dataset comes out at 0.000 eV per atom. The calculation puts the final energy at -7.91 eV/atom. The energy relative to the elements comes out at -224 meV/atom.

=====

8.
Entry from Alexandria via LeMat-Bulk: a relaxed structure of GdMnAl (PBE).

abc: 4.6184 4.6184 3.4670
angles: 90.00 90.00 120.00
Space group P-6m2 (No. 187)
Inequivalent atoms, fractional coordinates:
Gd  0.0000  0.0000  0.0000
Mn  0.6667  0.3333  0.5000
Al  0.3333  0.6667  0.5000

Summary:
The calculation puts the final energy at -9.12 eV/atom. The energy relative to the elements comes out at -123 meV/atom.

=====

9.
Entry from Alexandria via LeMat-Bulk: a relaxed structure of PrGdMnAl (PBE).

abc: 7.3605 7.3605 7.3605
angles: 90.00 90.00 90.00
Space group F-43m (No. 216)
Inequivalent atoms, fractional coordinates:
Pr  0.0000  0.0000  0.0000
Gd  0.0000  0.0000  0.5000
Mn  0.2500  0.2500  0.2500
Al  0.2500  0.2500  0.7500

Summary:
The calculation puts the final energy at -7.98 eV/atom. The energy relative to the elements comes out at -35 meV/atom.

=====

10.
Entry from Alexandria via LeMat-Bulk: a relaxed structure of GdPuMnAl (PBE).

abc: 7.1109 7.1109 7.1109
angles: 90.00 90.00 90.00
Space group F-43m (No. 216)
Inequivalent atoms, fractional coordinates:
Gd  0.0000  0.0000  0.0000
Pu  0.0000  0.0000  0.5000
Mn  0.2500  0.2500  0.2500
Al  0.2500  0.2500  0.7500

Summary:
The calculation puts the final energy at -10.33 eV/atom. The energy relative to the elements comes out at 0 meV/atom.

=====

11.
Entry from Alexandria via LeMat-Bulk: a relaxed structure of SmGdMnAl (PBE).

abc: 7.2846 7.2846 7.2846
angles: 90.00 90.00 90.00
Space group F-43m (No. 216)
Inequivalent atoms, fractional coordinates:
Sm  0.0000  0.0000  0.0000
Gd  0.0000  0.0000  0.5000
Mn  0.2500  0.2500  0.2500
Al  0.2500  0.2500  0.7500

Summary:
The calculation puts the final energy at -7.99 eV/atom. The energy relative to the elements comes out at -58 meV/atom.

=====

12.
Entry from Alexandria via LeMat-Bulk: a relaxed structure of TbGdMnAl (PBE).

abc: 7.2268 7.2268 7.2268
angles: 90.00 90.00 90.00
Space group F-43m (No. 216)
Inequivalent atoms, fractional coordinates:
Tb  0.0000  0.0000  0.0000
Gd  0.0000  0.0000  0.5000
Mn  0.2500  0.2500  0.7500
Al  0.2500  0.2500  0.2500

Summary:
The calculation puts the final energy at -7.95 eV/atom. The energy relative to the elements comes out at -43 meV/atom.

=====

13.
Entry from Alexandria via LeMat-Bulk: a relaxed structure of GdThMnAl (PBE).

abc: 7.2815 7.2815 7.2815
angles: 90.00 90.00 90.00
Space group F-43m (No. 216)
Inequivalent atoms, fractional coordinates:
Gd  0.0000  0.0000  0.0000
Th  0.0000  0.0000  0.5000
Mn  0.2500  0.2500  0.2500
Al  0.2500  0.2500  0.7500

Summary:
The calculation puts the final energy at -8.61 eV/atom. The energy relative to the elements comes out at -8 meV/atom.

=====

14.
Entry from Alexandria via LeMat-Bulk: a relaxed structure of GdTmMnAl (PBE).

abc: 7.1547 7.1547 7.1547
angles: 90.00 90.00 90.00
Space group F-43m (No. 216)
Inequivalent atoms, fractional coordinates:
Gd  0.0000  0.0000  0.0000
Tm  0.0000  0.0000  0.5000
Mn  0.2500  0.2500  0.2500
Al  0.2500  0.2500  0.7500

Summary:
The calculation puts the final energy at -7.93 eV/atom. The energy relative to the elements comes out at -61 meV/atom.

=====

15.
Entry from Alexandria via LeMat-Bulk: a relaxed structure of GdYMnAl (PBE).

abc: 7.2227 7.2227 7.2227
angles: 90.00 90.00 90.00
Space group F-43m (No. 216)
Inequivalent atoms, fractional coordinates:
Gd  0.0000  0.0000  0.0000
Y  0.0000  0.0000  0.5000
Mn  0.2500  0.2500  0.2500
Al  0.2500  0.2500  0.7500

Summary:
The calculation puts the final energy at -8.45 eV/atom. The energy relative to the elements comes out at -85 meV/atom.

=====

16.
Entry from Alexandria via LeMat-Bulk: a relaxed structure of Gd2AlN (PBE).

abc: 3.5430 3.5430 23.1872
angles: 90.00 90.00 120.00
Space group R-3m (No. 166, hexagonal axes)
Inequivalent atoms, fractional coordinates:
Gd  0.0000  0.0000  0.2263
Al  0.0000  0.0000  0.0000
N  0.0000  0.0000  0.5000

Summary:
The calculation puts the final energy at -10.90 eV/atom. For the formation energy (no corrections), the calculation gives -845 meV per atom.

=====

no.,density of states at the Fermi level (states/eV/cell)
1,10.04
2,11.16
3,10.65
4,10.50
5,10.92
6,2.99
7,3.16
8,2.25
9,19.21
10,30.06
11,19.92
12,19.08
13,13.69
14,17.97
15,21.08
16,10.83